{
  "formula": "MgTa2VO8",
  "functional": "PBE+U",
  "state": "relaxed",
  "m_tot_mub_per_fu": 1.0,
  "crystal_system": "trigonal",
  "total_energy_ev_per_atom": -8.466,
  "lattice": [[-3.708, -0.014, 4.555], [-2.034, -0.846, -5.445], [0.720, -5.397, 0.570]],
  "species": ["O", "O", "O", "Ta", "O", "V", "O", "Ta", "Mg", "O", "O", "O"],
  "fractional_positions": [[0.150, 0.850, 0.778], [0.850, 0.150, 0.222], [0.150, 0.300, 0.778], [0.333, 0.667, 0.702], [0.667, 0.333, 0.621], [0.000, 0.000, 0.000], [0.300, 0.150, 0.222], [0.667, 0.333, 0.298], [0.000, 0.000, 0.500], [0.700, 0.850, 0.778], [0.850, 0.700, 0.222], [0.333, 0.667, 0.379]]
}